Material: TiCuTe
Method: DFT, PBE
State: optimized geometry

Calculated values
Uncorrected formation energy (meV per atom): -356
Symmetry: C2/m (12)

```
TiCuTe
1.0
4.093 0.027 0.253
2.061 3.521 -0.426
1.421 -2.034 9.771
Cu Te Ti
2 2 2
Cartesian
3.794 -0.441 4.798
3.782 1.956 4.801
1.552 -1.141 7.919
6.024 2.657 1.679
5.748 0.993 6.333
1.827 0.522 3.266
```


Material: Ca2SmHg
Method: DFT, PBE
State: optimized geometry

Calculated values
Calculated formation energy (eV per atom): -0.194
Symmetry: P4/mmm (123)
Offset from the most stable computed form (meV/atom): 0

```
Ca2SmHg
1.0
3.660 0.000 0.000
0.000 3.660 0.000
0.000 0.000 9.681
Ca Hg Sm
2 1 1
Cartesian
0.000 0.000 7.699
0.000 0.000 1.982
1.830 1.830 0.000
1.830 1.830 4.840
```


Material: Mg3TcBi
Method: DFT, PBE
State: optimized geometry

Calculated values
Calculated formation energy (eV per atom): 1.216
Symmetry: Pm-3m (221)
Offset from the most stable computed form (meV/atom): 566

```
Mg3TcBi
1.0
5.403 0.000 0.000
0.000 5.403 0.000
0.000 0.000 5.403
Bi Mg Tc
1 3 1
Cartesian
0.000 0.000 0.000
0.000 2.702 0.000
0.000 0.000 2.702
2.702 0.000 0.000
2.702 2.702 2.702
```


Material: BeAuO2
Method: DFT, PBE
State: optimized geometry

Calculated values
Uncorrected formation energy (meV per atom): -1042
Symmetry: I-42d (122)

```
BeAuO2
1.0
-1.730 -1.004 -4.243
3.363 -3.212 -0.612
-1.476 -4.808 -0.853
Au O Be
2 4 2
Cartesian
0.000 0.000 0.000
-1.195 -3.960 -3.762
-0.052 -6.938 -4.820
-0.838 -2.119 -2.470
-0.121 -5.544 -2.528
1.325 -3.447 -1.597
1.352 -5.064 -1.946
0.817 -2.108 -2.427
```


Ordered density of states at the Fermi level results: 1.7, 5.6, 3.9, 1.2; unit states/eV/f.u..